(1)
Material: ThAlCd4Ag5
Method: DFT, PBE
State: optimized geometry

Unit cell a=5.355 b=5.355 c=8.612 alpha=90.00 beta=90.00 gamma=90.00
Sites, in units of the cell vectors:
Th (0.000, 0.000, 0.500)
Al (0.500, 0.500, 0.500)
Cd (0.500, 0.500, 0.176)
Cd (0.500, 0.500, 0.824)
Cd (0.500, 0.000, 0.000)
Cd (0.000, 0.500, 0.000)
Ag (0.000, 0.500, 0.328)
Ag (0.000, 0.500, 0.672)
Ag (0.500, 0.000, 0.328)
Ag (0.000, 0.000, 0.000)
Ag (0.500, 0.000, 0.672)

Calculated total energy: -2.490 eV per atom
Space group: No. 123
Energy of formation from the pure elements: 0.153 eV/atom
D(E_F): 3.1 states/eV per cell
Calculated density: 8.39 g/cm³

(2)
Material: TiV3H6
Method: DFT, PBE
State: optimized geometry

Unit cell a=2.758 b=7.229 c=7.398 alpha=103.26 beta=90.00 gamma=90.00
Sites, in units of the cell vectors:
Ti (0.750, 0.071, 0.690)
Ti (0.250, 0.929, 0.310)
V (0.750, 0.458, 0.824)
V (0.250, 0.542, 0.176)
V (0.750, 0.690, 0.531)
V (0.250, 0.310, 0.469)
V (0.750, 0.175, 0.080)
V (0.250, 0.825, 0.920)
H (0.750, 0.457, 0.579)
H (0.250, 0.543, 0.421)
H (0.750, 0.920, 0.098)
H (0.250, 0.080, 0.902)
H (0.750, 0.413, 0.055)
H (0.250, 0.587, 0.945)
H (0.750, 0.711, 0.284)
H (0.250, 0.289, 0.716)
H (0.750, 0.122, 0.444)
H (0.250, 0.878, 0.556)
H (0.750, 0.822, 0.766)
H (0.250, 0.178, 0.234)

Calculated total energy: -5.727 eV per atom
Space group: No. 11
D(E_F): 12.1 states/eV per cell
Calculated density: 4.78 g/cm³

(3)
Material: AcPuSi4
Method: DFT, PBE
State: optimized geometry

Unit cell a=4.132 b=4.132 c=8.457 alpha=90.00 beta=90.00 gamma=120.00
Site moments in Bohr magnetons follow the coordinates.
Sites, in units of the cell vectors:
Ac (0.000, 0.000, 0.500)  0.03
Pu (0.000, 0.000, 0.000)  5.21
Si (0.333, 0.667, 0.223)  0.01
Si (0.333, 0.667, 0.777)  0.01
Si (0.667, 0.333, 0.223)  0.01
Si (0.667, 0.333, 0.777)  0.01

Calculated total energy: -7.181 eV per atom
Space group: No. 191
Uncorrected formation energy: -0.49 eV per atom
D(E_F): 9.3 states/eV per cell
Calculated density: 7.75 g/cm³

(4)
Material: K2Tl4Cu
Method: DFT, PBE
State: optimized geometry

Unit cell a=5.282 b=5.282 c=10.063 alpha=74.79 beta=74.79 gamma=90.00
Sites, in units of the cell vectors:
Tl (0.856, 0.856, 0.288)
Tl (0.144, 0.144, 0.712)
Tl (0.000, 0.500, 0.000)
Tl (0.500, 0.000, 0.000)
K (0.659, 0.659, 0.682)
K (0.341, 0.341, 0.318)
Cu (0.000, 0.000, 0.000)

Calculated total energy: -2.186 eV per atom
Space group: No. 139
Energy of formation from the pure elements: 0.065 eV/atom
D(E_F): 3.4 states/eV per cell
Calculated density: 6.11 g/cm³